Entry 1:
Below is PrYTm2Se6 after structural relaxation, with properties calculated at the GGA-PBE level.

Results
DOS(E_F) (states/eV/atom): 0.000
ΔE_f (raw) (eV per atom): -1.841
Density (g/cm3): 5.9
Magnetic moment (μB per formula unit): 0.00

```
data_PrYTm2Se6
_chemical_formula_sum 'Pr3 Y3 Tm6 Se18'
_space_group_name_H-M_alt 'R 3'
_space_group_IT_number 146
_space_group_name_Hall 'R 3'
_cell_length_a 7.2494
_cell_length_b 7.2494
_cell_length_c 19.3797
_cell_angle_alpha 90.00
_cell_angle_beta 90.00
_cell_angle_gamma 120.00
loop_
_atom_site_label
_atom_site_type_symbol
_atom_site_fract_x
_atom_site_fract_y
_atom_site_fract_z
_atom_site_occupancy
Pr1 Pr 0.0000 0.0000 0.0000 1
Y1 Y 0.0000 0.0000 0.4935 1
Tm1 Tm 0.0000 0.0000 0.2961 1
Tm2 Tm 0.0000 0.0000 0.7999 1
Se1 Se 0.0104 0.3128 0.8924 1
Se2 Se 0.0214 0.6380 0.0595 1
```

Entry 2:
Below is CaTh2Rh9 after structural relaxation, with properties calculated at the GGA-PBE level.

Results
DOS(E_F) (states/eV/atom): 1.300
ΔE_f (kJ per mole of atoms): -51
Density (g/cm3): 10.9
Magnetic moment (μB per formula unit): 0.00

```
data_CaTh2Rh9
_chemical_formula_sum 'Ca3 Th6 Rh27'
_space_group_name_H-M_alt 'R -3 m'
_space_group_IT_number 166
_space_group_name_Hall '-R 3 2"'
_cell_length_a 5.3148
_cell_length_b 5.3148
_cell_length_c 26.6444
_cell_angle_alpha 90.00
_cell_angle_beta 90.00
_cell_angle_gamma 120.00
loop_
_atom_site_label
_atom_site_type_symbol
_atom_site_fract_x
_atom_site_fract_y
_atom_site_fract_z
_atom_site_occupancy
Ca1 Ca 0.0000 0.0000 0.0000 1
Th1 Th 0.0000 0.0000 0.1361 1
Rh1 Rh 0.0000 0.0000 0.3328 1
Rh2 Rh 0.0000 0.0000 0.5000 1
Rh3 Rh 0.0013 0.5007 0.9178 1
```

Entry 3:
Below is SiGeN2 after structural relaxation, with properties calculated at the GGA-PBE level.

Results
Distance to the lowest polymorph of the same formula (eV/f.u.): 1.28
DOS(E_F) (states/eV/atom): 0.072
ΔE_f (raw) (eV per atom): -0.158
Density (g/cm3): 4.3
Magnetic moment (μB per formula unit): 0.00

```
data_SiGeN2
_chemical_formula_sum 'Si4 Ge4 N8'
_space_group_name_H-M_alt 'I -4 2 d'
_space_group_IT_number 122
_space_group_name_Hall 'I -4 2bw'
_cell_length_a 5.071
_cell_length_b 5.071
_cell_length_c 7.676
_cell_angle_alpha 90.00
_cell_angle_beta 90.00
_cell_angle_gamma 90.00
loop_
_atom_site_label
_atom_site_type_symbol
_atom_site_fract_x
_atom_site_fract_y
_atom_site_fract_z
_atom_site_occupancy
Si1 Si 0.000 0.000 0.000 1
Ge1 Ge 0.000 0.000 0.500 1
N1 N 0.145 0.250 0.125 1
```

Entry 4:
Below is CsBaCuBr4 after structural relaxation, with properties calculated at the GGA-PBE level.

Results
DOS(E_F) (states/eV/atom): 0.000
ΔE_f (raw) (eV per atom): -1.544
Density (g/cm3): 4.2
Magnetic moment (μB per formula unit): 0.14

```
data_CsBaCuBr4
_chemical_formula_sum 'Cs2 Ba2 Cu2 Br8'
_space_group_name_H-M_alt 'P 1 21/m 1'
_space_group_IT_number 11
_space_group_name_Hall '-P 2yb'
_cell_length_a 7.187
_cell_length_b 7.556
_cell_length_c 10.046
_cell_angle_alpha 90.00
_cell_angle_beta 109.74
_cell_angle_gamma 90.00
loop_
_atom_site_label
_atom_site_type_symbol
_atom_site_fract_x
_atom_site_fract_y
_atom_site_fract_z
_atom_site_occupancy
Cs1 Cs 0.243 0.250 0.437 1
Ba1 Ba 0.265 0.250 0.946 1
Cu1 Cu 0.285 0.750 0.183 1
Br1 Br 0.093 0.750 0.928 1
Br2 Br 0.106 0.750 0.351 1
Br3 Br 0.483 0.505 0.776 1
```

Entry 5:
Below is LiLa2CeTe4 after structural relaxation, with properties calculated at the GGA-PBE level.

Results
DOS(E_F) (states/eV/atom): 1.155
ΔE_f (raw) (eV per atom): -1.425
Density (g/cm3): 6.0
Magnetic moment (μB per formula unit): 1.35

```
data_LiLa2CeTe4
_chemical_formula_sum 'Li1 La2 Ce1 Te4'
_space_group_name_H-M_alt 'P 1 2/m 1'
_space_group_IT_number 10
_space_group_name_Hall '-P 2y'
_cell_length_a 7.790
_cell_length_b 4.512
_cell_length_c 7.840
_cell_angle_alpha 90.00
_cell_angle_beta 109.53
_cell_angle_gamma 90.00
loop_
_atom_site_label
_atom_site_type_symbol
_atom_site_fract_x
_atom_site_fract_y
_atom_site_fract_z
_atom_site_occupancy
Li1 Li 0.000 0.000 0.000 1
La1 La 0.500 0.000 0.500 1
La2 La 0.500 0.500 0.000 1
Ce1 Ce 0.000 0.500 0.500 1
Te1 Te 0.236 0.500 0.239 1
Te2 Te 0.239 0.000 0.754 1
```

Entry 6:
Below is H6PdPb2Au after structural relaxation, with properties calculated at the GGA-PBE level.

Results
DOS(E_F) (states/eV/atom): 0.163
Density (g/cm3): 9.3
VASP energy (eV per atom): -3.4095
Magnetic moment (μB per formula unit): 0.00

```
data_H6PdPb2Au
_chemical_formula_sum 'H12 Pd2 Pb4 Au2'
_space_group_name_H-M_alt 'C 1 2/m 1'
_space_group_IT_number 12
_space_group_name_Hall '-C 2y'
_cell_length_a 6.884
_cell_length_b 7.261
_cell_length_c 5.754
_cell_angle_alpha 90.00
_cell_angle_beta 116.52
_cell_angle_gamma 90.00
loop_
_atom_site_label
_atom_site_type_symbol
_atom_site_fract_x
_atom_site_fract_y
_atom_site_fract_z
_atom_site_occupancy
H1 H 0.000 0.245 0.000 1
H2 H 0.104 0.500 0.332 1
H3 H 0.219 0.000 0.922 1
Pd1 Pd 0.000 0.500 0.000 1
Pb1 Pb 0.000 0.251 0.500 1
Au1 Au 0.000 0.000 0.000 1
```

Entry 7:
Below is YAlO2F after structural relaxation, with properties calculated at the GGA-PBE level.

Results
DOS(E_F) (states/eV/atom): 0.357
ΔE_f (raw) (eV per atom): -1.968
Density (g/cm3): 3.3
Magnetic moment (μB per formula unit): 0.78

```
data_YAlO2F
_chemical_formula_sum 'Y1 Al1 O2 F1'
_space_group_name_H-M_alt 'P 4/m m m'
_space_group_IT_number 123
_space_group_name_Hall '-P 4 2'
_cell_length_a 4.439
_cell_length_b 4.439
_cell_length_c 4.288
_cell_angle_alpha 90.00
_cell_angle_beta 90.00
_cell_angle_gamma 90.00
loop_
_atom_site_label
_atom_site_type_symbol
_atom_site_fract_x
_atom_site_fract_y
_atom_site_fract_z
_atom_site_occupancy
Y1 Y 0.000 0.000 0.000 1
Al1 Al 0.500 0.500 0.500 1
O1 O 0.000 0.500 0.000 1
F1 F 0.000 0.000 0.500 1
```

Entry 8:
Below is FeRe2Pb after structural relaxation, with properties calculated at the GGA-PBE level.

Results
DOS(E_F) (states/eV/atom): 1.255
ΔE_f (kJ per mole of atoms): 105
Density (g/cm3): 15.1
Magnetic moment (μB per formula unit): 0.00

```
data_FeRe2Pb
_chemical_formula_sum 'Fe4 Re8 Pb4'
_space_group_name_H-M_alt 'I -4 2 d'
_space_group_IT_number 122
_space_group_name_Hall 'I -4 2bw'
_cell_length_a 7.417
_cell_length_b 7.417
_cell_length_c 5.078
_cell_angle_alpha 90.00
_cell_angle_beta 90.00
_cell_angle_gamma 90.00
loop_
_atom_site_label
_atom_site_type_symbol
_atom_site_fract_x
_atom_site_fract_y
_atom_site_fract_z
_atom_site_occupancy
Fe1 Fe 0.000 0.000 0.000 1
Re1 Re 0.181 0.250 0.125 1
Pb1 Pb 0.000 0.000 0.500 1
```

Entry 9:
Below is K3TeH after structural relaxation, with properties calculated at the GGA-PBE level.

Results
Distance to the lowest polymorph of the same formula (eV/f.u.): 1.09
DOS(E_F) (states/eV/atom): 0.000
Density (g/cm3): 1.9
Magnetic moment (μB per formula unit): 0.00

```
data_K3TeH
_chemical_formula_sum 'K12 Te4 H4'
_space_group_name_H-M_alt 'C m c m'
_space_group_IT_number 63
_space_group_name_Hall '-C 2c 2'
_cell_length_a 7.043
_cell_length_b 18.037
_cell_length_c 6.645
_cell_angle_alpha 90.00
_cell_angle_beta 90.00
_cell_angle_gamma 90.00
loop_
_atom_site_label
_atom_site_type_symbol
_atom_site_fract_x
_atom_site_fract_y
_atom_site_fract_z
_atom_site_occupancy
K1 K 0.000 0.000 0.000 1
K2 K 0.235 0.313 0.250 1
Te1 Te 0.000 0.350 0.750 1
H1 H 0.000 0.097 0.750 1
```

Entry 10:
Below is K2LaW after structural relaxation, with properties calculated at the GGA-PBE level.

Results
Distance to the lowest polymorph of the same formula (eV/f.u.): 1.86
DOS(E_F) (states/eV/atom): 0.997
ΔE_f (kJ per mole of atoms): 132
Density (g/cm3): 4.9
Magnetic moment (μB per formula unit): 2.39

```
data_K2LaW
_chemical_formula_sum 'K8 La4 W4'
_space_group_name_H-M_alt 'I -4 2 d'
_space_group_IT_number 122
_space_group_name_Hall 'I -4 2bw'
_cell_length_a 4.492
_cell_length_b 4.492
_cell_length_c 27.191
_cell_angle_alpha 90.00
_cell_angle_beta 90.00
_cell_angle_gamma 90.00
loop_
_atom_site_label
_atom_site_type_symbol
_atom_site_fract_x
_atom_site_fract_y
_atom_site_fract_z
_atom_site_occupancy
K1 K 0.238 0.250 0.125 1
La1 La 0.000 0.000 0.500 1
W1 W 0.000 0.000 0.000 1
```

Entry 11:
Below is Cu3SiPd after structural relaxation, with properties calculated at the GGA-PBE level.

Results
Distance to the lowest polymorph of the same formula (eV/f.u.): 4.54
DOS(E_F) (states/eV/atom): 0.425
ΔE_f (raw) (eV per atom): 1.060
Density (g/cm3): 5.5
Magnetic moment (μB per formula unit): 0.00

```
data_Cu3SiPd
_chemical_formula_sum 'Cu3 Si1 Pd1'
_space_group_name_H-M_alt 'P m -3 m'
_space_group_IT_number 221
_space_group_name_Hall '-P 4 2 3'
_cell_length_a 4.626
_cell_length_b 4.626
_cell_length_c 4.626
_cell_angle_alpha 90.00
_cell_angle_beta 90.00
_cell_angle_gamma 90.00
loop_
_atom_site_label
_atom_site_type_symbol
_atom_site_fract_x
_atom_site_fract_y
_atom_site_fract_z
_atom_site_occupancy
Cu1 Cu 0.000 0.000 0.500 1
Si1 Si 0.500 0.500 0.500 1
Pd1 Pd 0.000 0.000 0.000 1
```

Entry 12:
Below is SrMg2In9 after structural relaxation, with properties calculated at the GGA-PBE level.

Results
DOS(E_F) (states/eV/atom): 0.510
ΔE_f (kJ per mole of atoms): -12
Density (g/cm3): 6.2
Magnetic moment (μB per formula unit): 0.00

```
data_SrMg2In9
_chemical_formula_sum 'Sr1 Mg2 In9'
_space_group_name_H-M_alt 'P 4/m m m'
_space_group_IT_number 123
_space_group_name_Hall '-P 4 2'
_cell_length_a 4.717
_cell_length_b 4.717
_cell_length_c 14.128
_cell_angle_alpha 90.00
_cell_angle_beta 90.00
_cell_angle_gamma 90.00
loop_
_atom_site_label
_atom_site_type_symbol
_atom_site_fract_x
_atom_site_fract_y
_atom_site_fract_z
_atom_site_occupancy
Sr1 Sr 0.000 0.000 0.000 1
Mg1 Mg 0.000 0.000 0.336 1
In1 In 0.000 0.500 0.179 1
In2 In 0.000 0.500 0.500 1
In3 In 0.500 0.500 0.000 1
In4 In 0.500 0.500 0.336 1
```

Entry 13:
Below is AcHgBiPt after structural relaxation, with properties calculated at the GGA-PBE level.

Results
DOS(E_F) (states/eV/atom): 0.247
ΔE_f (kJ per mole of atoms): -55
Density (g/cm3): 12.9
Magnetic moment (μB per formula unit): 0.00

```
data_AcHgBiPt
_chemical_formula_sum 'Ac4 Hg4 Bi4 Pt4'
_space_group_name_H-M_alt 'F -4 3 m'
_space_group_IT_number 216
_space_group_name_Hall 'F -4 2 3'
_cell_length_a 7.536
_cell_length_b 7.536
_cell_length_c 7.536
_cell_angle_alpha 90.00
_cell_angle_beta 90.00
_cell_angle_gamma 90.00
loop_
_atom_site_label
_atom_site_type_symbol
_atom_site_fract_x
_atom_site_fract_y
_atom_site_fract_z
_atom_site_occupancy
Ac1 Ac 0.000 0.000 0.000 1
Hg1 Hg 0.250 0.250 0.250 1
Bi1 Bi 0.000 0.000 0.500 1
Pt1 Pt 0.250 0.250 0.750 1
```